! Mg7Si2H6O14 | Alexandria | meta-GGA SCAN | PBEsol geometry; values from VASP
! Total magnetic moment: 0.0 Bohr magnetons per cell
! VASP energy: -469.8 eV/cell
! Volume: 255 Å³/f.u.
&SYSTEM
  ibrav = 0, nat = 58, ntyp = 4
/
ATOMIC_SPECIES
Mg 24.30 Mg.upf
Si 28.09 Si.upf
H 1.01 H.upf
O 16.00 O.upf
ATOMIC_POSITIONS crystal
Mg 0.022 0.245 0.000
Mg 0.085 0.456 0.726
Mg 0.223 0.978 0.000
Mg 0.245 0.223 0.500
Mg 0.333 0.667 0.011
Mg 0.372 0.915 0.726
Mg 0.456 0.372 0.226
Mg 0.544 0.628 0.726
Mg 0.628 0.085 0.226
Mg 0.667 0.333 0.511
Mg 0.755 0.777 0.000
Mg 0.777 0.022 0.500
Mg 0.915 0.544 0.226
Mg 0.978 0.755 0.500
Si 0.000 0.000 0.211
Si 0.000 0.000 0.711
Si 0.333 0.667 0.437
Si 0.667 0.333 0.937
H 0.023 0.677 0.874
H 0.168 0.455 0.209
H 0.287 0.832 0.209
H 0.323 0.346 0.874
H 0.346 0.023 0.374
H 0.455 0.287 0.709
H 0.545 0.713 0.209
H 0.654 0.977 0.874
H 0.677 0.654 0.374
H 0.713 0.168 0.709
H 0.832 0.545 0.709
H 0.977 0.323 0.374
O 0.000 0.000 0.381
O 0.000 0.000 0.881
O 0.028 0.202 0.635
O 0.099 0.476 0.129
O 0.165 0.716 0.377
O 0.166 0.729 0.872
O 0.174 0.972 0.635
O 0.202 0.174 0.135
O 0.271 0.438 0.872
O 0.284 0.449 0.377
O 0.333 0.667 0.612
O 0.377 0.901 0.129
O 0.438 0.166 0.372
O 0.449 0.165 0.877
O 0.476 0.377 0.629
O 0.524 0.623 0.129
O 0.551 0.835 0.377
O 0.562 0.834 0.872
O 0.623 0.099 0.629
O 0.667 0.333 0.112
O 0.716 0.551 0.877
O 0.729 0.562 0.372
O 0.798 0.826 0.635
O 0.826 0.028 0.135
O 0.834 0.271 0.372
O 0.835 0.284 0.877
O 0.901 0.524 0.629
O 0.972 0.798 0.135
CELL_PARAMETERS angstrom
7.844 0.000 0.000
-3.922 6.793 0.000
0.000 0.000 9.566